Density functional theory data (PBE with a Hubbard U) for a geometry-optimized Na2NpCoO6 structure.

Structure (POSCAR):
```
Na2NpCoO6
1.0
5.5124 0.0000 0.0000
0.0000 5.5124 0.0000
0.0000 0.0000 4.1505
Na Np Co O
2 1 1 6
direct
0.0000 0.5000 0.0000
0.5000 0.0000 0.0000
0.0000 0.0000 0.5077
0.5000 0.5000 0.4955
0.0000 0.0000 0.0096
0.2547 0.2547 0.5112
0.2547 0.7453 0.5112
0.5000 0.5000 0.0250
0.7453 0.2547 0.5112
0.7453 0.7453 0.5112
```

Output
SG: No. 99
Total energy (eV/cell): -68.082